No. 1
A relaxed structure of BaTiTcRu2, computed with PBE-GGA.

The value obtained for the volume is 112 Å³ per cell. As for the formation energy from the elements: 0.727 eV/atom. Its raw total energy is -35.1 eV/cell. As for the crystal system: tetragonal. The total magnetization is 0.000 μB per formula unit.

a = 4.866 Å, b = 4.717 Å, c = 4.866 Å
α = 90.00°, β = 90.00°, γ = 90.00°
Sites, in units of the cell vectors:
Ru  0.000  0.000  0.500
Ru  0.500  0.000  0.000
Ti  0.000  0.500  0.000
Ba  0.500  0.500  0.500
Tc  0.000  0.000  0.000

No. 2
A relaxed structure of BaTl2TcRu, computed with PBE-GGA.

The value obtained for the volume is 139 Å³ per cell. As for the formation energy from the elements: 0.532 eV/atom. Its raw total energy is -23.6 eV/cell. As for the crystal system: tetragonal. The total magnetization is 1.267 μB per formula unit.

a = 5.352 Å, b = 4.842 Å, c = 5.352 Å
α = 90.00°, β = 90.00°, γ = 90.00°
Sites, in units of the cell vectors:
Ru  0.000  0.000  0.000
Tl  0.000  0.000  0.500
Tl  0.500  0.000  0.000
Ba  0.500  0.500  0.500
Tc  0.000  0.500  0.000